(1)
# NaSn2Hg2

A PBEsol-optimized structure of NaSn2Hg2 (meta-GGA SCAN, the Alexandria database).

Unit cell a=4.497 b=4.497 c=7.364 alpha=107.78 beta=107.78 gamma=90.00
Positions (direct):
Sn (0.750, 0.250, 0.500)
Hg (0.602, 0.602, 0.204)
Sn (0.250, 0.750, 0.500)
Na (0.000, 0.000, 0.000)
Hg (0.398, 0.398, 0.796)

Formation energy from the elements (kJ per mole of atoms): -10
Density of states at the Fermi level (states/eV/cell): 1.3

---

(2)
# TcRuRh2

A PBEsol-optimized structure of TcRuRh2 (meta-GGA SCAN, the Alexandria database).

Unit cell a=4.276 b=4.276 c=4.276 alpha=60.00 beta=60.00 gamma=60.00
Each line ends with the local moment (μB).
Positions (direct):
Ru (0.500, 0.500, 0.500)  0.88
Rh (0.000, 0.000, 0.000)  -0.19
Rh (0.750, 0.750, 0.750)  0.41
Tc (0.250, 0.250, 0.250)  -0.46

Formation energy from the elements (kJ per mole of atoms): 35
Density of states at the Fermi level (states/eV/cell): 3.4

---

(3)
# AgAu

A PBEsol-optimized structure of AgAu (meta-GGA SCAN, the Alexandria database).

Unit cell a=4.065 b=4.065 c=4.962 alpha=114.18 beta=114.18 gamma=90.00
Positions (direct):
Au (0.250, 0.750, 0.500)
Ag (0.750, 0.250, 0.500)
Ag (0.500, 0.500, 0.000)
Au (0.000, 0.000, 0.000)

Formation energy from the elements (kJ per mole of atoms): -8
Density of states at the Fermi level (states/eV/cell): 0.9

---

(4)
# AlTcOs2

A PBEsol-optimized structure of AlTcOs2 (meta-GGA SCAN, the Alexandria database).

Unit cell a=2.924 b=4.359 c=4.359 alpha=90.00 beta=90.00 gamma=90.00
Positions (direct):
Os (0.000, 0.000, 0.500)
Al (0.500, 0.000, 0.000)
Tc (0.500, 0.500, 0.500)
Os (0.000, 0.500, 0.000)

Formation energy from the elements (kJ per mole of atoms): -12
Density of states at the Fermi level (states/eV/cell): 2.8

---

Question: formation energy from the elements of number 2 (TcRuRh2)?
Answer: 35 kJ per mole of atoms